# 1
# PBE-GGA PmNbCuO5, relaxed
data_PmNbCuO5
_chemical_formula_sum 'Pm2 Nb2 Cu2 O10'
_cell_length_a 5.711
_cell_length_b 5.711
_cell_length_c 7.604
_cell_angle_alpha 102.16
_cell_angle_beta 102.16
_cell_angle_gamma 111.54
_space_group_name_H-M_alt 'P 1'
_space_group_IT_number 1
loop_
_space_group_symop_operation_xyz
'x,y,z'
loop_
_atom_site_label
_atom_site_type_symbol
_atom_site_fract_x
_atom_site_fract_y
_atom_site_fract_z
Pm1 Pm 0.178 0.822 0.750
Pm2 Pm 0.822 0.178 0.250
Nb1 Nb 0.500 0.500 0.000
Nb2 Nb 0.500 0.500 0.500
Cu1 Cu 0.171 0.829 0.250
Cu2 Cu 0.829 0.171 0.750
O1 O 0.144 0.199 0.923
O2 O 0.199 0.144 0.423
O3 O 0.217 0.627 0.419
O4 O 0.373 0.783 0.081
O5 O 0.432 0.568 0.750
O6 O 0.568 0.432 0.250
O7 O 0.627 0.217 0.919
O8 O 0.783 0.373 0.581
O9 O 0.801 0.856 0.577
O10 O 0.856 0.801 0.077
# symmetry: C2/c
# E_form (uncorrected): -2274 meV per atom

# 2
# PBE-GGA CoRe, relaxed
data_CoRe
_chemical_formula_sum 'Co2 Re2'
_cell_length_a 3.724
_cell_length_b 3.724
_cell_length_c 4.670
_cell_angle_alpha 90.00
_cell_angle_beta 90.00
_cell_angle_gamma 120.00
_space_group_name_H-M_alt 'P 1'
_space_group_IT_number 1
loop_
_space_group_symop_operation_xyz
'x,y,z'
loop_
_atom_site_label
_atom_site_type_symbol
_atom_site_fract_x
_atom_site_fract_y
_atom_site_fract_z
Co1 Co 0.000 0.000 0.000
Co2 Co 0.000 0.000 0.500
Re1 Re 0.333 0.667 0.250
Re2 Re 0.667 0.333 0.750
# electronic total energy: -35.994 eV per cell
# symmetry: P6_3/mmc

# 3
# PBE-GGA RbGa2PO6, relaxed
data_RbGa2PO6
_chemical_formula_sum 'Rb2 Ga4 P2 O12'
_cell_length_a 7.313
_cell_length_b 7.313
_cell_length_c 6.117
_cell_angle_alpha 102.51
_cell_angle_beta 102.51
_cell_angle_gamma 108.26
_space_group_name_H-M_alt 'P 1'
_space_group_IT_number 1
loop_
_space_group_symop_operation_xyz
'x,y,z'
loop_
_atom_site_label
_atom_site_type_symbol
_atom_site_fract_x
_atom_site_fract_y
_atom_site_fract_z
Rb1 Rb 0.100 0.900 0.750
Rb2 Rb 0.900 0.100 0.250
Ga1 Ga 0.298 0.456 0.867
Ga2 Ga 0.456 0.298 0.367
Ga3 Ga 0.544 0.702 0.633
Ga4 Ga 0.702 0.544 0.133
P1 P 0.206 0.794 0.250
P2 P 0.794 0.206 0.750
O1 O 0.016 0.266 0.744
O2 O 0.216 0.663 0.023
O3 O 0.266 0.016 0.244
O4 O 0.325 0.419 0.554
O5 O 0.337 0.784 0.477
O6 O 0.419 0.325 0.054
O7 O 0.581 0.675 0.946
O8 O 0.663 0.216 0.523
O9 O 0.675 0.581 0.446
O10 O 0.734 0.984 0.756
O11 O 0.784 0.337 0.977
O12 O 0.984 0.734 0.256
# symmetry: C2/c
# E_form (uncorrected): -2008 meV per atom

# 4
# PBE-GGA Ce2Mo2C3, relaxed
data_Ce2Mo2C3
_chemical_formula_sum 'Ce2 Mo2 C3'
_cell_length_a 6.302
_cell_length_b 6.302
_cell_length_c 5.786
_cell_angle_alpha 113.93
_cell_angle_beta 113.93
_cell_angle_gamma 30.90
_space_group_name_H-M_alt 'P 1'
_space_group_IT_number 1
loop_
_space_group_symop_operation_xyz
'x,y,z'
loop_
_atom_site_label
_atom_site_type_symbol
_atom_site_fract_x
_atom_site_fract_y
_atom_site_fract_z
Ce1 Ce 0.104 0.104 0.307
Ce2 Ce 0.896 0.896 0.693
Mo1 Mo 0.341 0.341 0.175
Mo2 Mo 0.659 0.659 0.825
C1 C 0.248 0.248 0.761
C2 C 0.500 0.500 0.500
C3 C 0.752 0.752 0.239
# electronic total energy: -63.238 eV per cell
# symmetry: C2/m

# 5
# PBE-GGA Ca4Cu3Rh, relaxed
data_Ca4Cu3Rh
_chemical_formula_sum 'Ca4 Cu3 Rh1'
_cell_length_a 4.188
_cell_length_b 4.204
_cell_length_c 10.734
_cell_angle_alpha 90.00
_cell_angle_beta 90.00
_cell_angle_gamma 90.00
_space_group_name_H-M_alt 'P 1'
_space_group_IT_number 1
loop_
_space_group_symop_operation_xyz
'x,y,z'
loop_
_atom_site_label
_atom_site_type_symbol
_atom_site_fract_x
_atom_site_fract_y
_atom_site_fract_z
Ca1 Ca 0.000 0.000 0.000
Ca2 Ca 0.000 0.500 0.272
Ca3 Ca 0.500 0.000 0.481
Ca4 Ca 0.500 0.500 0.775
Cu1 Cu 0.000 0.000 0.691
Cu2 Cu 0.000 0.500 0.573
Cu3 Cu 0.500 0.500 0.067
Rh1 Rh 0.500 0.000 0.197
# electronic total energy: -29.444 eV per cell
# symmetry: Pmm2

# 6
# PBE-GGA Sr2GeO4, relaxed
data_Sr2GeO4
_chemical_formula_sum 'Sr4 Ge2 O8'
_cell_length_a 8.445
_cell_length_b 7.366
_cell_length_c 6.259
_cell_angle_alpha 76.13
_cell_angle_beta 57.86
_cell_angle_gamma 46.01
_space_group_name_H-M_alt 'P 1'
_space_group_IT_number 1
loop_
_space_group_symop_operation_xyz
'x,y,z'
loop_
_atom_site_label
_atom_site_type_symbol
_atom_site_fract_x
_atom_site_fract_y
_atom_site_fract_z
Sr1 Sr 0.062 0.688 0.062
Sr2 Sr 0.312 0.938 0.312
Sr3 Sr 0.688 0.062 0.688
Sr4 Sr 0.938 0.312 0.938
Ge1 Ge 0.375 0.375 0.375
Ge2 Ge 0.625 0.625 0.625
O1 O 0.180 0.709 0.358
O2 O 0.254 0.358 0.709
O3 O 0.291 0.820 0.746
O4 O 0.358 0.254 0.180
O5 O 0.642 0.746 0.820
O6 O 0.709 0.180 0.254
O7 O 0.746 0.642 0.291
O8 O 0.820 0.291 0.642
# symmetry: Fddd
# E_form (uncorrected): -2515 meV per atom

# 7
# PBE-GGA Tb2Sm3Ho5, relaxed
data_Tb2Sm3Ho5
_chemical_formula_sum 'Tb4 Sm6 Ho10'
_cell_length_a 10.991
_cell_length_b 10.991
_cell_length_c 10.991
_cell_angle_alpha 118.50
_cell_angle_beta 72.95
_cell_angle_gamma 144.69
_space_group_name_H-M_alt 'P 1'
_space_group_IT_number 1
loop_
_space_group_symop_operation_xyz
'x,y,z'
loop_
_atom_site_label
_atom_site_type_symbol
_atom_site_fract_x
_atom_site_fract_y
_atom_site_fract_z
Tb1 Tb 0.029 0.236 0.265
Tb2 Tb 0.471 0.736 0.207
Tb3 Tb 0.529 0.264 0.793
Tb4 Tb 0.971 0.764 0.735
Sm1 Sm 0.172 0.713 0.885
Sm2 Sm 0.250 0.250 0.000
Sm3 Sm 0.328 0.213 0.540
Sm4 Sm 0.672 0.787 0.460
Sm5 Sm 0.750 0.750 0.000
Sm6 Sm 0.828 0.287 0.115
Ho1 Ho 0.069 0.250 0.819
Ho2 Ho 0.169 0.407 0.576
Ho3 Ho 0.250 0.750 0.500
Ho4 Ho 0.331 0.907 0.238
Ho5 Ho 0.431 0.250 0.181
Ho6 Ho 0.569 0.750 0.819
Ho7 Ho 0.669 0.093 0.762
Ho8 Ho 0.750 0.250 0.500
Ho9 Ho 0.831 0.593 0.424
Ho10 Ho 0.931 0.750 0.181
# E above lowest polymorph: 0.0678 eV per atom
# symmetry: Ibam

# 8
# PBE-GGA NaCaZnGe, relaxed
data_NaCaZnGe
_chemical_formula_sum 'Na1 Ca1 Zn1 Ge1'
_cell_length_a 5.056
_cell_length_b 5.056
_cell_length_c 5.056
_cell_angle_alpha 60.00
_cell_angle_beta 60.00
_cell_angle_gamma 60.00
_space_group_name_H-M_alt 'P 1'
_space_group_IT_number 1
loop_
_space_group_symop_operation_xyz
'x,y,z'
loop_
_atom_site_label
_atom_site_type_symbol
_atom_site_fract_x
_atom_site_fract_y
_atom_site_fract_z
Na1 Na 0.000 0.000 0.000
Ca1 Ca 0.500 0.500 0.500
Zn1 Zn 0.250 0.250 0.250
Ge1 Ge 0.750 0.750 0.750
# electronic total energy: -9.918 eV per cell
# symmetry: F-43m

# 9
# PBE-GGA Nd3In3Rh2, relaxed
data_Nd3In3Rh2
_chemical_formula_sum 'Nd12 In12 Rh8'
_cell_length_a 8.278
_cell_length_b 16.543
_cell_length_c 5.810
_cell_angle_alpha 90.00
_cell_angle_beta 90.00
_cell_angle_gamma 90.00
_space_group_name_H-M_alt 'P 1'
_space_group_IT_number 1
loop_
_space_group_symop_operation_xyz
'x,y,z'
loop_
_atom_site_label
_atom_site_type_symbol
_atom_site_fract_x
_atom_site_fract_y
_atom_site_fract_z
Nd1 Nd 0.033 0.110 0.101
Nd2 Nd 0.033 0.390 0.101
Nd3 Nd 0.159 0.250 0.635
Nd4 Nd 0.341 0.750 0.135
Nd5 Nd 0.467 0.610 0.601
Nd6 Nd 0.467 0.890 0.601
Nd7 Nd 0.533 0.110 0.399
Nd8 Nd 0.533 0.390 0.399
Nd9 Nd 0.659 0.250 0.865
Nd10 Nd 0.841 0.750 0.365
Nd11 Nd 0.967 0.610 0.899
Nd12 Nd 0.967 0.890 0.899
In1 In 0.176 0.033 0.595
In2 In 0.176 0.467 0.595
In3 In 0.178 0.750 0.637
In4 In 0.322 0.250 0.137
In5 In 0.324 0.533 0.095
In6 In 0.324 0.967 0.095
In7 In 0.676 0.033 0.905
In8 In 0.676 0.467 0.905
In9 In 0.678 0.750 0.863
In10 In 0.822 0.250 0.363
In11 In 0.824 0.533 0.405
In12 In 0.824 0.967 0.405
Rh1 Rh 0.110 0.616 0.367
Rh2 Rh 0.110 0.884 0.367
Rh3 Rh 0.390 0.116 0.867
Rh4 Rh 0.390 0.384 0.867
Rh5 Rh 0.610 0.616 0.133
Rh6 Rh 0.610 0.884 0.133
Rh7 Rh 0.890 0.116 0.633
Rh8 Rh 0.890 0.384 0.633
# electronic total energy: -167.655 eV per cell
# symmetry: Pnma

# 10
# PBE-GGA Ba2LaPt, relaxed
data_Ba2LaPt
_chemical_formula_sum 'Ba2 La1 Pt1'
_cell_length_a 11.091
_cell_length_b 11.091
_cell_length_c 11.091
_cell_angle_alpha 23.13
_cell_angle_beta 23.13
_cell_angle_gamma 23.13
_space_group_name_H-M_alt 'P 1'
_space_group_IT_number 1
loop_
_space_group_symop_operation_xyz
'x,y,z'
loop_
_atom_site_label
_atom_site_type_symbol
_atom_site_fract_x
_atom_site_fract_y
_atom_site_fract_z
Ba1 Ba 0.000 0.000 0.000
Ba2 Ba 0.212 0.212 0.212
La1 La 0.777 0.777 0.777
Pt1 Pt 0.485 0.485 0.485
# E above lowest polymorph: 0.0598 eV per atom
# symmetry: R3m

# 11
# PBE-GGA LaIn2HgIr, relaxed
data_LaIn2HgIr
_chemical_formula_sum 'La1 In2 Hg1 Ir1'
_cell_length_a 5.222
_cell_length_b 5.222
_cell_length_c 5.410
_cell_angle_alpha 90.00
_cell_angle_beta 90.00
_cell_angle_gamma 90.00
_space_group_name_H-M_alt 'P 1'
_space_group_IT_number 1
loop_
_space_group_symop_operation_xyz
'x,y,z'
loop_
_atom_site_label
_atom_site_type_symbol
_atom_site_fract_x
_atom_site_fract_y
_atom_site_fract_z
La1 La 0.000 0.000 0.000
In1 In 0.000 0.500 0.500
In2 In 0.500 0.000 0.500
Hg1 Hg 0.500 0.500 0.000
Ir1 Ir 0.000 0.000 0.500
# electronic total energy: -21.542 eV per cell
# symmetry: P4/mmm

# 12
# PBE-GGA LiPtRh2, relaxed
data_LiPtRh2
_chemical_formula_sum 'Li1 Pt1 Rh2'
_cell_length_a 4.673
_cell_length_b 4.673
_cell_length_c 4.673
_cell_angle_alpha 131.88
_cell_angle_beta 131.88
_cell_angle_gamma 70.42
_space_group_name_H-M_alt 'P 1'
_space_group_IT_number 1
loop_
_space_group_symop_operation_xyz
'x,y,z'
loop_
_atom_site_label
_atom_site_type_symbol
_atom_site_fract_x
_atom_site_fract_y
_atom_site_fract_z
Li1 Li 0.000 0.000 0.000
Pt1 Pt 0.500 0.500 0.000
Rh1 Rh 0.250 0.750 0.500
Rh2 Rh 0.750 0.250 0.500
# E above lowest polymorph: 0.0732 eV per atom
# symmetry: I4/mmm